No. 1
# Nd5MgSn5 | the Alexandria database | PBE | relaxed
# SG: No. 12
# Energy of formation from the pure elements, eV per atom: -0.36
data_Nd5MgSn5
_chemical_formula_sum 'Nd5 Mg1 Sn5'
_symmetry_space_group_name_H-M 'P 1'
_symmetry_Int_Tables_number 1
_cell_length_a 6.356
_cell_length_b 6.856
_cell_length_c 10.430
_cell_angle_alpha 112.09
_cell_angle_beta 90.00
_cell_angle_gamma 117.61
loop_
_symmetry_equiv_pos_as_xyz
'x,y,z'
loop_
_atom_site_label
_atom_site_type_symbol
_atom_site_fract_x
_atom_site_fract_y
_atom_site_fract_z
Sn1 Sn 0.153 0.306 0.827
Sn2 Sn 0.852 0.703 0.681
Sn3 Sn 0.148 0.297 0.319
Sn4 Sn 0.500 0.000 0.000
Sn5 Sn 0.847 0.694 0.173
Nd1 Nd 0.320 0.640 0.158
Nd2 Nd 0.000 0.000 0.500
Nd3 Nd 0.668 0.337 0.337
Nd4 Nd 0.680 0.360 0.842
Nd5 Nd 0.332 0.663 0.663
Mg1 Mg 0.000 0.000 0.000



No. 2
# ZnTeSe2 | the Alexandria database | PBE | relaxed
# Excess energy over the best structure of this formula in the dataset, eV/atom: 0.0655
# SG: No. 122
# Formation energy (no corrections), eV/f.u.: -0.24
data_ZnTeSe2
_chemical_formula_sum 'Zn2 Te2 Se4'
_symmetry_space_group_name_H-M 'P 1'
_symmetry_Int_Tables_number 1
_cell_length_a 7.044
_cell_length_b 7.044
_cell_length_c 6.498
_cell_angle_alpha 57.18
_cell_angle_beta 57.18
_cell_angle_gamma 90.00
loop_
_symmetry_equiv_pos_as_xyz
'x,y,z'
loop_
_atom_site_label
_atom_site_type_symbol
_atom_site_fract_x
_atom_site_fract_y
_atom_site_fract_z
Se1 Se 0.168 0.625 0.250
Se2 Se 0.375 0.418 0.750
Se3 Se 0.875 0.832 0.750
Se4 Se 0.582 0.125 0.250
Te1 Te 0.750 0.250 0.500
Te2 Te 0.000 0.000 0.000
Zn1 Zn 0.500 0.500 0.000
Zn2 Zn 0.250 0.750 0.500



No. 3
# Sr2CaCdAg6 | the Alexandria database | PBE | relaxed
# SG: No. 225
# Energy of formation from the pure elements, eV per atom: 0.20
data_Sr2CaCdAg6
_chemical_formula_sum 'Sr2 Ca1 Cd1 Ag6'
_symmetry_space_group_name_H-M 'P 1'
_symmetry_Int_Tables_number 1
_cell_length_a 7.641
_cell_length_b 7.641
_cell_length_c 7.641
_cell_angle_alpha 60.00
_cell_angle_beta 60.00
_cell_angle_gamma 90.00
loop_
_symmetry_equiv_pos_as_xyz
'x,y,z'
loop_
_atom_site_label
_atom_site_type_symbol
_atom_site_fract_x
_atom_site_fract_y
_atom_site_fract_z
Ag1 Ag 0.243 0.757 0.000
Ag2 Ag 0.757 0.243 0.000
Ag3 Ag 0.243 0.243 0.513
Ag4 Ag 0.757 0.757 0.000
Ag5 Ag 0.243 0.243 0.000
Ag6 Ag 0.757 0.757 0.487
Cd1 Cd 0.000 0.000 0.000
Sr1 Sr 0.250 0.750 0.500
Sr2 Sr 0.750 0.250 0.500
Ca1 Ca 0.500 0.500 0.000



No. 4
# PuIn2Pt2 | the Alexandria database | PBE | relaxed
# Excess energy over the best structure of this formula in the dataset, eV/atom: 0.0301
# SG: No. 11
# Energy of formation from the pure elements, eV per atom: -0.53
data_PuIn2Pt2
_chemical_formula_sum 'Pu2 In4 Pt4'
_symmetry_space_group_name_H-M 'P 1'
_symmetry_Int_Tables_number 1
_cell_length_a 4.434
_cell_length_b 5.147
_cell_length_c 10.080
_cell_angle_alpha 84.60
_cell_angle_beta 90.00
_cell_angle_gamma 90.00
loop_
_symmetry_equiv_pos_as_xyz
'x,y,z'
loop_
_atom_site_label
_atom_site_type_symbol
_atom_site_fract_x
_atom_site_fract_y
_atom_site_fract_z
Pt1 Pt 0.750 0.295 0.365
Pt2 Pt 0.750 0.658 0.026
Pt3 Pt 0.250 0.705 0.635
Pt4 Pt 0.250 0.342 0.974
In1 In 0.250 0.872 0.881
In2 In 0.750 0.777 0.472
In3 In 0.750 0.128 0.119
In4 In 0.250 0.223 0.528
Pu1 Pu 0.750 0.379 0.771
Pu2 Pu 0.250 0.621 0.229



No. 5
# MgCdBi2 | the Alexandria database | PBE | relaxed
# Excess energy over the best structure of this formula in the dataset, eV/atom: 0.0000
# SG: No. 123
# Energy of formation from the pure elements, eV per atom: -0.01
data_MgCdBi2
_chemical_formula_sum 'Mg1 Cd1 Bi2'
_symmetry_space_group_name_H-M 'P 1'
_symmetry_Int_Tables_number 1
_cell_length_a 3.489
_cell_length_b 3.489
_cell_length_c 9.129
_cell_angle_alpha 90.00
_cell_angle_beta 90.00
_cell_angle_gamma 90.00
loop_
_symmetry_equiv_pos_as_xyz
'x,y,z'
loop_
_atom_site_label
_atom_site_type_symbol
_atom_site_fract_x
_atom_site_fract_y
_atom_site_fract_z
Bi1 Bi 0.000 0.000 0.766
Bi2 Bi 0.000 0.000 0.234
Mg1 Mg 0.500 0.500 0.000
Cd1 Cd 0.500 0.500 0.500



No. 6
# Pu2Pa7 | the Alexandria database | PBE | relaxed
# SG: No. 162
# Energy of formation from the pure elements, eV per atom: 0.04
data_Pu2Pa7
_chemical_formula_sum 'Pu2 Pa7'
_symmetry_space_group_name_H-M 'P 1'
_symmetry_Int_Tables_number 1
_cell_length_a 5.682
_cell_length_b 5.682
_cell_length_c 7.954
_cell_angle_alpha 90.00
_cell_angle_beta 90.00
_cell_angle_gamma 120.00
loop_
_symmetry_equiv_pos_as_xyz
'x,y,z'
loop_
_atom_site_label
_atom_site_type_symbol
_atom_site_fract_x
_atom_site_fract_y
_atom_site_fract_z
Pa1 Pa 0.000 0.333 0.669
Pa2 Pa 0.000 0.000 0.000
Pa3 Pa 0.333 0.000 0.669
Pa4 Pa 0.000 0.667 0.331
Pa5 Pa 0.667 0.667 0.669
Pa6 Pa 0.667 0.000 0.331
Pa7 Pa 0.333 0.333 0.331
Pu1 Pu 0.333 0.667 0.000
Pu2 Pu 0.667 0.333 0.000



No. 7
# TlGaC3 | the Alexandria database | PBE | relaxed
# Excess energy over the best structure of this formula in the dataset, eV/atom: 0.0000
# SG: No. 221
# Energy of formation from the pure elements, eV per atom: 2.63
data_TlGaC3
_chemical_formula_sum 'Tl1 Ga1 C3'
_symmetry_space_group_name_H-M 'P 1'
_symmetry_Int_Tables_number 1
_cell_length_a 4.132
_cell_length_b 4.132
_cell_length_c 4.132
_cell_angle_alpha 90.00
_cell_angle_beta 90.00
_cell_angle_gamma 90.00
loop_
_symmetry_equiv_pos_as_xyz
'x,y,z'
loop_
_atom_site_label
_atom_site_type_symbol
_atom_site_fract_x
_atom_site_fract_y
_atom_site_fract_z
C1 C 0.500 0.000 0.000
C2 C 0.000 0.500 0.000
C3 C 0.000 0.000 0.500
Tl1 Tl 0.500 0.500 0.500
Ga1 Ga 0.000 0.000 0.000



No. 8
# ZrTa2As | the Alexandria database | PBE | relaxed
# SG: No. 65
# Energy of formation from the pure elements, eV per atom: -0.08
data_ZrTa2As
_chemical_formula_sum 'Zr1 Ta2 As1'
_symmetry_space_group_name_H-M 'P 1'
_symmetry_Int_Tables_number 1
_cell_length_a 3.033
_cell_length_b 3.033
_cell_length_c 8.691
_cell_angle_alpha 90.00
_cell_angle_beta 90.00
_cell_angle_gamma 109.51
loop_
_symmetry_equiv_pos_as_xyz
'x,y,z'
loop_
_atom_site_label
_atom_site_type_symbol
_atom_site_fract_x
_atom_site_fract_y
_atom_site_fract_z
Ta1 Ta 0.000 0.000 0.525
Ta2 Ta 0.000 0.000 0.975
Zr1 Zr 0.500 0.500 0.250
As1 As 0.500 0.500 0.750



No. 9
# ThCu7Ni5 | the Alexandria database | PBE | relaxed
# SG: No. 44
# Energy of formation from the pure elements, eV per atom: -0.13
data_ThCu7Ni5
_chemical_formula_sum 'Th1 Cu7 Ni5'
_symmetry_space_group_name_H-M 'P 1'
_symmetry_Int_Tables_number 1
_cell_length_a 4.843
_cell_length_b 6.393
_cell_length_c 6.393
_cell_angle_alpha 81.88
_cell_angle_beta 67.74
_cell_angle_gamma 67.74
loop_
_symmetry_equiv_pos_as_xyz
'x,y,z'
loop_
_atom_site_label
_atom_site_type_symbol
_atom_site_fract_x
_atom_site_fract_y
_atom_site_fract_z
Ni1 Ni 0.500 0.999 0.501
Ni2 Ni 0.500 0.501 0.999
Ni3 Ni 0.000 0.999 0.501
Ni4 Ni 0.719 0.781 0.781
Ni5 Ni 0.000 0.501 0.999
Cu1 Cu 0.500 0.225 0.775
Cu2 Cu 0.274 0.226 0.226
Cu3 Cu 0.997 0.357 0.648
Cu4 Cu 0.356 0.644 0.644
Cu5 Cu 0.997 0.648 0.357
Cu6 Cu 0.650 0.350 0.350
Cu7 Cu 0.500 0.775 0.225
Th1 Th 0.006 0.994 0.994



No. 10
# LaCd2FeNi | the Alexandria database | PBE | relaxed
# SG: No. 123
# Energy of formation from the pure elements, eV per atom: 1.58
data_LaCd2FeNi
_chemical_formula_sum 'La1 Cd2 Fe1 Ni1'
_symmetry_space_group_name_H-M 'P 1'
_symmetry_Int_Tables_number 1
_cell_length_a 5.946
_cell_length_b 4.336
_cell_length_c 5.946
_cell_angle_alpha 90.00
_cell_angle_beta 90.00
_cell_angle_gamma 90.00
loop_
_symmetry_equiv_pos_as_xyz
'x,y,z'
loop_
_atom_site_label
_atom_site_type_symbol
_atom_site_fract_x
_atom_site_fract_y
_atom_site_fract_z
Ni1 Ni 0.500 0.500 0.500
La1 La 0.000 0.000 0.000
Cd1 Cd 0.000 0.000 0.500
Cd2 Cd 0.500 0.000 0.000
Fe1 Fe 0.000 0.500 0.000



| no. | E_tot (eV/atom) |
| --- | --- |
| 1 | -4.49 |
| 2 | -2.91 |
| 3 | -2.14 |
| 4 | -6.91 |
| 5 | -2.58 |
| 6 | -10.54 |
| 7 | -3.98 |
| 8 | -9.30 |
| 9 | -5.13 |
| 10 | -2.62 |